Record 1
First-principles (PBE) data for an optimized crystal structure of ErLuBe, as listed in the Open Quantum Materials Database.

## Properties
For the offset from the most stable computed form, the calculation gives 0.00 eV/f.u. As for the symmetry: F-43m (216). The theoretical density is 7.8 g cm⁻³. Its uncorrected energy is -3.268 eV per atom.

a = 6.701 Å, b = 6.701 Å, c = 6.701 Å
α = 90.00°, β = 90.00°, γ = 90.00°
Element x y z (fractional)
Er1 0.000 0.000 0.000
Er2 0.000 0.500 0.500
Er3 0.500 0.000 0.500
Er4 0.500 0.500 0.000
Lu1 0.250 0.250 0.750
Lu2 0.250 0.750 0.250
Lu3 0.750 0.250 0.250
Lu4 0.750 0.750 0.750
Be1 0.000 0.000 0.500
Be2 0.000 0.500 0.000
Be3 0.500 0.000 0.000
Be4 0.500 0.500 0.500

=====

Record 2
First-principles (PBE) data for an optimized crystal structure of ErBeMo, as listed in the Open Quantum Materials Database.

## Properties
For the offset from the most stable computed form, the calculation gives 0.00 eV/f.u. As for the symmetry: F-43m (216). The theoretical density is 8.2 g cm⁻³. Its uncorrected energy is -5.785 eV per atom.

a = 6.042 Å, b = 6.042 Å, c = 6.042 Å
α = 90.00°, β = 90.00°, γ = 90.00°
Element x y z (fractional)
Er1 0.000 0.000 0.000
Er2 0.000 0.500 0.500
Er3 0.500 0.000 0.500
Er4 0.500 0.500 0.000
Be1 0.250 0.250 0.250
Be2 0.250 0.750 0.750
Be3 0.750 0.250 0.750
Be4 0.750 0.750 0.250
Mo1 0.000 0.000 0.500
Mo2 0.000 0.500 0.000
Mo3 0.500 0.000 0.000
Mo4 0.500 0.500 0.500

=====

Record 3
First-principles (PBE) data for an optimized crystal structure of ErBeMo, as listed in the Open Quantum Materials Database.

## Properties
For the offset from the most stable computed form, the calculation gives 2.78 eV/f.u. As for the symmetry: F-43m (216). The theoretical density is 7.3 g cm⁻³. Its uncorrected energy is -4.859 eV per atom.

a = 6.290 Å, b = 6.290 Å, c = 6.290 Å
α = 90.00°, β = 90.00°, γ = 90.00°
Element x y z (fractional)
Er1 0.000 0.000 0.000
Er2 0.000 0.500 0.500
Er3 0.500 0.000 0.500
Er4 0.500 0.500 0.000
Be1 0.250 0.250 0.750
Be2 0.250 0.750 0.250
Be3 0.750 0.250 0.250
Be4 0.750 0.750 0.750
Mo1 0.250 0.250 0.250
Mo2 0.250 0.750 0.750
Mo3 0.750 0.250 0.750
Mo4 0.750 0.750 0.250

=====

Q: What is the formula in the third record?
A: ErBeMo